Entry 1:
A relaxed structure of Cd2SnBr2, computed with GGA-PBEsol.

Lattice parameters (Å, degrees): 4.737 4.737 12.005 90.00 90.00 90.00
Space group I4/mmm (No. 139)
One atom of each set of equivalent atoms:
Cd1 0.000 0.000 0.111 x4
Sn1 0.000 0.000 0.500 x2
Br1 0.000 0.500 0.250 x4

Computed properties:
E = -2.12 eV per atom
ΔE_f (raw) = -0.04 eV per atom
DOS(E_F) = 0.79 states/eV per atom

***

Entry 2:
A relaxed structure of Tl2CdSnBr, computed with GGA-PBEsol.

Lattice parameters (Å, degrees): 5.832 5.832 5.561 90.00 90.00 90.00
Space group P4/mmm (No. 123)
One atom of each set of equivalent atoms:
Tl1 0.000 0.500 0.000 x2
Cd1 0.000 0.000 0.500 x1
Sn1 0.500 0.500 0.000 x1
Br1 0.500 0.500 0.500 x1

Computed properties:
E = -2.32 eV per atom
ΔE_f (raw) = 0.19 eV per atom
DOS(E_F) = 0.50 states/eV per atom

***

Entry 3:
A relaxed structure of SrCd3Br, computed with GGA-PBEsol.

Lattice parameters (Å, degrees): 6.349 6.349 6.349 90.00 90.00 90.00
Space group Pm-3m (No. 221)
One atom of each set of equivalent atoms:
Sr1 0.000 0.000 0.000 x1
Cd1 0.000 0.000 0.500 x3
Br1 0.500 0.500 0.500 x1

Computed properties:
E = -1.05 eV per atom
ΔE_f (raw) = 0.41 eV per atom
DOS(E_F) = 0.44 states/eV per atom